# ZnPH PBE relaxed
# * V: 15.00 Å³ per atom
# * E above lowest polymorph: 0.023 eV per atom
# * final energy: -41.07 eV/cell
data_ZnPH
_chemical_formula_sum 'Zn4 P4 H4'
_cell_length_a 6.781
_cell_length_b 3.925
_cell_length_c 7.183
_cell_angle_alpha 90.00
_cell_angle_beta 109.66
_cell_angle_gamma 90.00
_space_group_name_H-M_alt 'C 1 2 1'
_space_group_IT_number 5
loop_
_space_group_symop_operation_xyz
'x,y,z'
'-x,y,-z'
'x+1/2,y+1/2,z'
'-x+1/2,y+1/2,-z'
loop_
_atom_site_label
_atom_site_type_symbol
_atom_site_fract_x
_atom_site_fract_y
_atom_site_fract_z
Zn1 Zn 0.113 0.000 0.345
P1 P 0.000 0.475 0.500
P2 P 0.000 0.852 0.000
H1 H 0.156 0.605 0.009


# ZnPH PBE relaxed
# * V: 16.27 Å³ per atom
# * E above lowest polymorph: 0.276 eV per atom
# * final energy: -38.03 eV/cell
data_ZnPH
_chemical_formula_sum 'Zn4 P4 H4'
_cell_length_a 7.656
_cell_length_b 3.475
_cell_length_c 7.339
_cell_angle_alpha 90.00
_cell_angle_beta 90.00
_cell_angle_gamma 90.00
_space_group_name_H-M_alt 'P n m a'
_space_group_IT_number 62
loop_
_space_group_symop_operation_xyz
'x,y,z'
'-x,-y,-z'
'-x+1/2,-y,z+1/2'
'x+1/2,y,-z+1/2'
'x+1/2,-y+1/2,-z+1/2'
'-x+1/2,y+1/2,z+1/2'
'-x,y+1/2,-z'
'x,-y+1/2,z'
loop_
_atom_site_label
_atom_site_type_symbol
_atom_site_fract_x
_atom_site_fract_y
_atom_site_fract_z
Zn1 Zn 0.110 0.250 0.185
P1 P 0.180 0.750 0.911
H1 H 0.196 0.250 0.918


# ZnPH3 PBE relaxed
# * V: 15.65 Å³ per atom
# * E above lowest polymorph: 0.000 eV per atom
# * final energy: -32.23 eV/cell
data_ZnPH3
_chemical_formula_sum 'Zn2 P2 H6'
_cell_length_a 4.709
_cell_length_b 5.996
_cell_length_c 5.997
_cell_angle_alpha 67.56
_cell_angle_beta 89.98
_cell_angle_gamma 89.80
_space_group_name_H-M_alt 'P 1'
_space_group_IT_number 1
loop_
_space_group_symop_operation_xyz
'x,y,z'
loop_
_atom_site_label
_atom_site_type_symbol
_atom_site_fract_x
_atom_site_fract_y
_atom_site_fract_z
Zn1 Zn 0.000 0.000 0.000
Zn2 Zn 0.500 0.066 0.063
P1 P 0.001 0.733 0.744
P2 P 0.498 0.319 0.333
H1 H 0.233 0.572 0.761
H2 H 0.277 0.295 0.504
H3 H 0.497 0.580 0.228
H4 H 0.723 0.296 0.501
H5 H 0.787 0.554 0.777
H6 H 0.989 0.836 0.483